# OsRuW PBE-GGA relaxed
# - DFT total energy (Ry/atom) = -0.778
data_OsRuW
_symmetry_space_group_name_H-M 'F -4 3 m'
_symmetry_Int_Tables_number 216
_symmetry_space_group_name_Hall 'F -4 2 3'
_cell_length_a 5.948
_cell_length_b 5.948
_cell_length_c 5.948
_cell_angle_alpha 90.00
_cell_angle_beta 90.00
_cell_angle_gamma 90.00
loop_
_atom_site_label
_atom_site_fract_x
_atom_site_fract_y
_atom_site_fract_z
_atom_site_occupancy
Os1 0.000 0.000 0.000 1
Ru1 0.000 0.000 0.500 1
W1 0.250 0.250 0.750 1



# Ce2DyCd PBE-GGA relaxed
# - DFT total energy (Ry/atom) = -0.313
data_Ce2DyCd
_symmetry_space_group_name_H-M 'F m -3 m'
_symmetry_Int_Tables_number 225
_symmetry_space_group_name_Hall '-F 4 2 3'
_cell_length_a 7.741
_cell_length_b 7.741
_cell_length_c 7.741
_cell_angle_alpha 90.00
_cell_angle_beta 90.00
_cell_angle_gamma 90.00
loop_
_atom_site_label
_atom_site_fract_x
_atom_site_fract_y
_atom_site_fract_z
_atom_site_occupancy
Ce1 0.250 0.250 0.250 1
Dy1 0.000 0.000 0.000 1
Cd1 0.000 0.000 0.500 1



Table of energy above the lowest structure with this stoichiometry (kJ per mole of atoms), in record order: 50.4; 11.1